# RbBaZnBr5 | Alexandria | PBE | optimized geometry
data_RbBaZnBr5
_chemical_formula_sum 'Rb4 Ba4 Zn4 Br20'
_symmetry_space_group_name_H-M 'C 1 2/c 1'
_symmetry_Int_Tables_number 15
_symmetry_space_group_name_Hall '-C 2yc'
_cell_length_a 9.951
_cell_length_b 13.299
_cell_length_c 11.203
_cell_angle_alpha 90.00
_cell_angle_beta 112.16
_cell_angle_gamma 90.00
loop_
_atom_site_label
_atom_site_fract_x
_atom_site_fract_y
_atom_site_fract_z
Rb1 0.000 0.140 0.250
Ba1 0.000 0.500 0.000
Zn1 0.000 0.183 0.750
Br1 0.000 0.392 0.250
Br2 0.131 0.289 0.651
Br3 0.160 0.075 0.923
# calculated total energy: -3.145 eV per atom
# density: 3.33 g/cm3